(1)
Density functional theory data (GGA-PBE) for a relaxed Tb3Ag2Hg6 crystal.

Cell: 11.832 11.832 11.832 Å, 153.78 153.78 37.42°
Fractional positions:
Tb  0.000  0.000  0.000
Tb  0.150  0.150  0.000
Tb  0.850  0.850  0.000
Ag  0.410  0.410  0.000
Ag  0.590  0.590  0.000
Hg  0.074  0.574  0.500
Hg  0.285  0.285  0.000
Hg  0.426  0.926  0.500
Hg  0.574  0.074  0.500
Hg  0.715  0.715  0.000
Hg  0.926  0.426  0.500

Calculated values
The energy comes out at -1.94 eV per atom. The value obtained for the total moment is 0.00 μB/cell. Its symmetry is I4/mmm.

---

(2)
Density functional theory data (GGA-PBE) for a relaxed TbAgHg6 crystal.

Cell: 8.646 8.646 8.646 Å, 41.57 41.57 41.57°
Fractional positions:
Tb  0.000  0.000  0.000
Ag  0.500  0.500  0.500
Hg  0.068  0.068  0.555
Hg  0.068  0.555  0.068
Hg  0.445  0.932  0.932
Hg  0.555  0.068  0.068
Hg  0.932  0.445  0.932
Hg  0.932  0.932  0.445

Calculated values
Its energy relative to the lowest polymorph listed for this composition is 265 meV/atom. The energy comes out at -1.01 eV per atom. The value obtained for the total moment is 0.00 μB/cell. Its symmetry is R-3m.

---

(3)
Density functional theory data (GGA-PBE) for a relaxed Tb5AgHg6 crystal.

Cell: 9.066 9.066 9.066 Å, 146.82 131.82 59.75°
Fractional positions:
Tb  0.000  0.000  0.000
Tb  0.172  0.672  0.500
Tb  0.344  0.344  0.000
Tb  0.656  0.656  0.000
Tb  0.828  0.328  0.500
Ag  0.500  0.000  0.500
Hg  0.089  0.836  0.253
Hg  0.244  0.500  0.744
Hg  0.417  0.164  0.253
Hg  0.583  0.836  0.747
Hg  0.756  0.500  0.256
Hg  0.911  0.164  0.747

Calculated values
The energy comes out at -2.73 eV per atom. The value obtained for the total moment is 0.00 μB/cell. Its symmetry is Immm.

---

(4)
Density functional theory data (GGA-PBE) for a relaxed TbAgHg5 crystal.

Cell: 4.889 4.889 7.201 Å, 90.00 90.00 90.00°
Fractional positions:
Tb  0.000  0.000  0.000
Ag  0.000  0.000  0.500
Hg  0.000  0.500  0.284
Hg  0.000  0.500  0.716
Hg  0.500  0.000  0.284
Hg  0.500  0.000  0.716
Hg  0.500  0.500  0.000

Calculated values
The energy comes out at -1.48 eV per atom. The value obtained for the total moment is 0.00 μB/cell. Its symmetry is P4/mmm.

---

(5)
Density functional theory data (GGA-PBE) for a relaxed TbAg3Hg crystal.

Cell: 14.637 14.637 3.314 Å, 90.00 90.00 161.54°
Fractional positions:
Tb  0.178  0.822  0.000
Tb  0.822  0.178  0.000
Ag  0.066  0.934  0.500
Ag  0.274  0.726  0.500
Ag  0.454  0.546  0.000
Ag  0.546  0.454  0.000
Ag  0.726  0.274  0.500
Ag  0.934  0.066  0.500
Hg  0.373  0.627  0.500
Hg  0.627  0.373  0.500

Calculated values
The energy comes out at -2.77 eV per atom. The value obtained for the total moment is 0.00 μB/cell. Its symmetry is Cmmm.

---

(6)
Density functional theory data (GGA-PBE) for a relaxed Tb6Ag5Hg crystal.

Cell: 8.203 8.203 7.313 Å, 90.00 90.00 143.08°
Fractional positions:
Tb  0.000  0.000  0.246
Tb  0.000  0.000  0.754
Tb  0.332  0.668  0.248
Tb  0.332  0.668  0.752
Tb  0.668  0.332  0.248
Tb  0.668  0.332  0.752
Ag  0.166  0.834  0.000
Ag  0.166  0.834  0.500
Ag  0.500  0.500  0.000
Ag  0.834  0.166  0.000
Ag  0.834  0.166  0.500
Hg  0.500  0.500  0.500

Calculated values
The energy comes out at -3.87 eV per atom. The value obtained for the total moment is 0.00 μB/cell. Its symmetry is Cmmm.

---

(7)
Density functional theory data (GGA-PBE) for a relaxed TbAg2Hg2 crystal.

Cell: 4.082 4.082 7.518 Å, 105.69 105.69 89.89°
Fractional positions:
Tb  0.000  0.000  0.000
Ag  0.250  0.750  0.500
Ag  0.750  0.250  0.500
Hg  0.394  0.394  0.791
Hg  0.606  0.606  0.209

Calculated values
Its energy relative to the lowest polymorph listed for this composition is 89 meV/atom. The energy comes out at -2.32 eV per atom. The value obtained for the total moment is 0.00 μB/cell. Its symmetry is C2/m.

---

(8)
Density functional theory data (GGA-PBE) for a relaxed Tb2Ag3Hg2 crystal.

Cell: 10.525 10.525 3.341 Å, 90.00 90.00 154.58°
Fractional positions:
Tb  0.147  0.853  0.000
Tb  0.853  0.147  0.000
Ag  0.000  0.000  0.000
Ag  0.433  0.567  0.500
Ag  0.567  0.433  0.500
Hg  0.291  0.709  0.500
Hg  0.709  0.291  0.500

Calculated values
The energy comes out at -2.82 eV per atom. The value obtained for the total moment is 0.00 μB/cell. Its symmetry is Cmmm.

---

(9)
Density functional theory data (GGA-PBE) for a relaxed Tb4Ag2Hg3 crystal.

Cell: 5.118 5.118 9.816 Å, 90.07 90.07 60.04°
Fractional positions:
Tb  0.000  0.000  0.169
Tb  0.000  0.000  0.831
Tb  0.333  0.333  0.387
Tb  0.667  0.667  0.613
Ag  0.334  0.334  0.705
Ag  0.666  0.666  0.295
Hg  0.000  0.000  0.500
Hg  0.333  0.333  0.051
Hg  0.667  0.667  0.949

Calculated values
The energy comes out at -3.13 eV per atom. The value obtained for the total moment is 0.00 μB/cell. Its symmetry is C2/m.

---

(10)
Density functional theory data (GGA-PBE) for a relaxed Tb6Ag2Hg crystal.

Cell: 8.681 8.681 8.681 Å, 111.26 108.64 108.52°
Fractional positions:
Tb  0.046  0.221  0.825
Tb  0.249  0.301  0.550
Tb  0.249  0.699  0.948
Tb  0.269  0.592  0.323
Tb  0.269  0.946  0.677
Tb  0.395  0.221  0.175
Tb  0.605  0.779  0.825
Tb  0.731  0.054  0.323
Tb  0.731  0.408  0.677
Tb  0.751  0.301  0.052
Tb  0.751  0.699  0.450
Tb  0.954  0.779  0.175
Ag  0.000  0.145  0.145
Ag  0.000  0.855  0.855
Ag  0.365  0.000  0.365
Ag  0.635  0.000  0.635
Hg  0.000  0.500  0.500
Hg  0.500  0.500  0.000

Calculated values
The energy comes out at -3.96 eV per atom. The value obtained for the total moment is 0.00 μB/cell. Its symmetry is Immm.

---

(11)
Density functional theory data (GGA-PBE) for a relaxed TbAgHg crystal.

Cell: 4.884 4.884 3.369 Å, 90.00 90.00 120.00°
Fractional positions:
Tb  0.000  0.000  0.000
Ag  0.333  0.667  0.500
Hg  0.667  0.333  0.500

Calculated values
The energy comes out at -2.95 eV per atom. The value obtained for the total moment is 0.00 μB/cell. Its symmetry is P-6m2.

---

(12)
Density functional theory data (GGA-PBE) for a relaxed Tb2Ag3Hg4 crystal.

Cell: 8.421 8.421 8.712 Å, 90.00 90.00 137.57°
Fractional positions:
Tb  0.119  0.881  0.930
Tb  0.381  0.619  0.430
Tb  0.619  0.381  0.570
Tb  0.881  0.119  0.070
Ag  0.000  0.000  0.500
Ag  0.028  0.472  0.750
Ag  0.472  0.028  0.250
Ag  0.500  0.500  0.000
Ag  0.528  0.972  0.750
Ag  0.972  0.528  0.250
Hg  0.181  0.819  0.533
Hg  0.211  0.289  0.750
Hg  0.289  0.211  0.250
Hg  0.319  0.681  0.033
Hg  0.681  0.319  0.967
Hg  0.711  0.789  0.750
Hg  0.789  0.711  0.250
Hg  0.819  0.181  0.467

Calculated values
Its energy relative to the lowest polymorph listed for this composition is 79 meV/atom. The energy comes out at -2.31 eV per atom. The value obtained for the total moment is 0.00 μB/cell. Its symmetry is Cmce.